No. 1
VASP calculation (PBE) on MgRu2Rh after structural relaxation.

Output
Its space-group type is I-4m2 (119).

Cell lengths 4.753, 4.753, 4.753 Å; angles 131.99, 131.99, 70.24 degrees
Sites, in units of the cell vectors:
Mg: 0.000 0.000 0.000
Ru: 0.500 0.500 0.000
Ru: 0.750 0.250 0.500
Rh: 0.250 0.750 0.500

No. 2
VASP calculation (PBE) on Mg2RuRh after structural relaxation.

Output
Its space-group type is Immm (71).

Cell lengths 5.125, 5.125, 5.125 Å; angles 145.05, 125.33, 66.55 degrees
Sites, in units of the cell vectors:
Mg: 0.248 0.248 0.000
Mg: 0.752 0.752 0.000
Ru: 0.500 0.000 0.500
Rh: 0.000 0.500 0.500

No. 3
VASP calculation (PBE) on Mg2RuRh after structural relaxation.

Output
Its space-group type is P4/mmm (123).

Cell lengths 3.097, 3.097, 6.428 Å; angles 90.00, 90.00, 90.00 degrees
Sites, in units of the cell vectors:
Mg: 0.000 0.000 0.240
Mg: 0.000 0.000 0.760
Ru: 0.500 0.500 0.500
Rh: 0.500 0.500 0.000

No. 4
VASP calculation (PBE) on MgRu2Rh after structural relaxation.

Output
Its space-group type is Pm (6).

Cell lengths 2.722, 4.159, 5.339 Å; angles 90.00, 104.68, 90.00 degrees
Sites, in units of the cell vectors:
Mg: 0.000 0.000 0.000
Ru: 0.257 0.000 0.512
Ru: 0.849 0.500 0.697
Rh: 0.597 0.500 0.194

Going through the records in order, we get density of states at the Fermi level values of 1.4021, 1.0780, 0.9344, 0.9420 states/eV per atom.
Going through the records in order, we get formation energy from the elements values of 59, -34, -118, 74 meV/atom.